Pm2Si3Ni12Pt | Alexandria via LeMat-Bulk | PBE | optimized geometry; total DFT energy (no corrections) = -5.520 eV/atom; symmetry = No. 166; M_tot = 0.00 μB/cell; raw formation energy = 0.10 eV/atom
1.0
7.103 -0.332 -0.235
3.219 6.340 -0.235
3.219 1.874 6.061
Si Ni Pm Pt
3 12 2 1
direct
0.500 0.000 0.000
0.000 0.500 0.000
0.000 0.000 0.500
0.860 0.382 0.860
0.140 0.618 0.140
0.642 0.074 0.642
0.074 0.642 0.642
0.618 0.140 0.140
0.642 0.642 0.074
0.358 0.358 0.926
0.926 0.358 0.358
0.382 0.860 0.860
0.140 0.140 0.618
0.860 0.860 0.382
0.358 0.926 0.358
0.394 0.394 0.394
0.606 0.606 0.606
0.000 0.000 0.000